Here is a relaxed structure of AlNi15Ge4 from Alexandria via LeMat-Bulk. Energies are from PBE.

The structure in extended XYZ format:
```
20
Lattice="-0.139 -3.045 1.863 2.506 -1.411 -2.120 12.722 6.126 10.963" Properties=species:S:1:pos:R:3 pbc="T T T"
Al 0.000 0.000 0.000
Ni 1.183 -2.228 -0.128
Ni 8.815 1.447 6.448
Ni 5.069 1.132 2.229
Ni 1.202 -0.910 2.027
Ni 8.836 2.766 8.606
Ni 10.159 3.583 6.614
Ni 3.747 0.315 4.220
Ni 11.381 3.991 10.799
Ni 11.352 2.669 8.635
Ni 7.614 2.358 4.422
Ni 2.524 -0.093 0.036
Ni 3.736 -0.999 2.072
Ni 6.291 1.541 6.413
Ni 6.273 0.223 4.258
Ni 12.703 4.808 8.807
Ge 10.198 4.911 8.788
Ge 2.524 1.215 2.175
Ge 5.085 2.449 4.382
Ge 7.637 3.678 6.581
```

## Properties
* crystal system: tetragonal
* D(E_F): 0.99 states/eV/atom
* ΔE_f: -6.4 eV/f.u.
* space-group type: P4/mmm (123)